Below is a geometry-optimized HfTcNi2 structure, with properties calculated at the PBE level.

For the formation energy, the calculation gives 0.295 eV/atom. Its space-group type is I-42d. The calculation puts the distance to the lowest polymorph of the same formula at 558.3 meV/atom. As for the density of states at the Fermi level: 10.3 states/eV per cell.

Cell: 9.2244 9.2244 9.2244 Å, 156.54 156.54 33.41°
Element x y z (fractional)
Hf 0.0000 0.0000 0.0000
Hf 0.7500 0.2500 0.5000
Tc 0.2500 0.7500 0.5000
Tc 0.5000 0.5000 0.0000
Ni 0.1438 0.6250 0.0188
Ni 0.3750 0.3938 0.5188
Ni 0.6062 0.1250 0.9812
Ni 0.8750 0.8562 0.4812